Entry 1:
First-principles (PBE-GGA) data for a relaxed structure of ScCu, as listed in Alexandria via LeMat-Bulk.

Output
- total energy (eV/atom) = -5.289
- D(E_F) (states/eV/atom) = 0.177

Unit cell a=4.4992 b=4.4992 c=4.4992 alpha=60.00 beta=60.00 gamma=60.00
Closest atoms and distances in Å follow each position.
Positions (direct):
Sc 0.1250 0.1250 0.1250  4 Cu 2.76, 4 Sc 2.76
Sc 0.8750 0.8750 0.8750  4 Cu 2.76, 4 Sc 2.76
Cu 0.3750 0.3750 0.3750  4 Cu 2.76, 4 Sc 2.76
Cu 0.6250 0.6250 0.6250  4 Sc 2.76, 4 Cu 2.76



Entry 2:
First-principles (PBE-GGA) data for a relaxed structure of NdTlS2, as listed in Alexandria via LeMat-Bulk.

Output
- total energy (eV/atom) = -5.301
- D(E_F) (states/eV/atom) = 0.000
- ΔE_f (raw) (eV per atom) = -1.454

Unit cell a=7.8769 b=7.8769 c=7.8769 alpha=30.80 beta=30.80 gamma=30.80
Closest atoms and distances in Å follow each position.
Positions (direct):
Nd 0.0000 0.0000 0.0000  6 S 2.86
Tl 0.5000 0.5000 0.5000  6 S 3.28
S 0.2652 0.2652 0.2652  3 Nd 2.86
S 0.7348 0.7348 0.7348  3 Nd 2.86



Entry 3:
First-principles (PBE-GGA) data for a relaxed structure of SmPuThIn, as listed in Alexandria via LeMat-Bulk.

Output
- total energy (eV/atom) = -7.247
- D(E_F) (states/eV/atom) = 3.038

Unit cell a=5.4522 b=5.4522 c=5.4522 alpha=60.00 beta=60.00 gamma=60.00
Closest atoms and distances in Å follow each position.
Positions (direct):
Sm 0.0000 0.0000 0.0000  4 In 3.34, 4 Th 3.34
Pu 0.5000 0.5000 0.5000  4 In 3.34, 4 Th 3.34
Th 0.2500 0.2500 0.2500  4 Pu 3.34, 4 Sm 3.34
In 0.7500 0.7500 0.7500  4 Pu 3.34, 4 Sm 3.34



Entry 4:
First-principles (PBE-GGA) data for a relaxed structure of La7Pm2Y3, as listed in Alexandria via LeMat-Bulk.

Output
- total energy (eV/atom) = -5.227
- D(E_F) (states/eV/atom) = 1.493

Unit cell a=6.5878 b=3.6067 c=17.9040 alpha=90.00 beta=95.52 gamma=90.00
Closest atoms and distances in Å follow each position.
Positions (direct):
La 0.0000 0.0000 0.0000  8 La 3.61-3.74, 4 Y 3.76
La 0.2270 0.5000 0.1714  1 Pm 3.56, 8 La 3.61-3.77, 3 Y 3.69-3.70
La 0.2618 0.5000 0.4918  2 La 3.12-3.49, 1 Pm 3.40
La 0.2772 0.0000 0.8336  7 La 3.61-3.77, 2 Pm 3.63, 3 Y 3.67-3.68
La 0.7228 0.0000 0.1664  7 La 3.61-3.77, 2 Pm 3.63, 3 Y 3.67-3.68
La 0.7382 0.5000 0.5082  2 La 3.12-3.49, 1 Pm 3.40
La 0.7730 0.5000 0.8286  1 Pm 3.56, 8 La 3.61-3.77, 3 Y 3.69-3.70
Pm 0.0567 0.5000 0.6694  5 La 3.40-3.63, 2 Pm 3.61, 2 Y 3.69
Pm 0.9433 0.5000 0.3306  5 La 3.40-3.63, 2 Pm 3.61, 2 Y 3.69
Y 0.4574 0.0000 0.3381  2 Y 3.61, 7 La 3.63-3.85, 4 Pm 3.69-3.83
Y 0.5000 0.5000 0.0000  2 Y 3.61, 10 La 3.67-3.76
Y 0.5426 0.0000 0.6619  2 Y 3.61, 7 La 3.63-3.85, 4 Pm 3.69-3.83



Entry 5:
First-principles (PBE-GGA) data for a relaxed structure of Mg2NiPt, as listed in Alexandria via LeMat-Bulk.

Output
- total energy (eV/atom) = -4.139
- D(E_F) (states/eV/atom) = 0.618

Unit cell a=4.4197 b=4.4197 c=4.4197 alpha=60.00 beta=60.00 gamma=60.00
Closest atoms and distances in Å follow each position.
Positions (direct):
Mg 0.0000 0.0000 0.0000  4 Pt 2.71, 4 Mg 2.71
Mg 0.2500 0.2500 0.2500  4 Mg 2.71, 4 Ni 2.71
Ni 0.5000 0.5000 0.5000  4 Pt 2.71, 4 Mg 2.71
Pt 0.7500 0.7500 0.7500  4 Ni 2.71, 4 Mg 2.71



Entry 6:
First-principles (PBE-GGA) data for a relaxed structure of NdThPd, as listed in Alexandria via LeMat-Bulk.

Output
- total energy (eV/atom) = -6.224
- D(E_F) (states/eV/atom) = 1.270
- ΔE to the lowest computed polymorph (eV/f.u.) = 0.00

Unit cell a=6.4509 b=6.4509 c=6.4509 alpha=146.40 beta=146.40 gamma=48.25
Closest atoms and distances in Å follow each position.
Positions (direct):
Nd 0.0000 0.0000 0.0000  4 Pd 3.34, 5 Th 3.49-3.57, 4 Nd 3.73
Th 0.2960 0.2960 0.0000  4 Pd 3.00
Pd 0.6736 0.6736 0.0000  4 Th 3.00, 4 Nd 3.34